Compound: ZrRh3N
Source: Alexandria
Functional: GGA-PBE
Structure: optimized geometry

Output
The calculated volume is 115 Å³ per cell. The total DFT energy (no corrections) is -5.658 eV per atom. As for the crystal system: cubic. As for the uncorrected formation energy: 2.128 eV per atom. The space-group type is No. 221.

```
5
Lattice="-4.1092 -2.3668 1.0761 0.7764 -3.0379 -3.7167 2.4813 -2.9690 2.9451" Properties=species:S:1:pos:R:3 pbc="T T T"
Rh 0.3882 -1.5190 -1.8583
Rh 1.2407 -1.4845 1.4726
Rh -2.0546 -1.1834 0.5381
N -0.4257 -4.1869 0.1523
Zr 0.0000 0.0000 0.0000
```